Material: ZrMnNO2
Method: DFT, GGA+U
State: relaxed

Properties
* ρ: 4.421 g/cm3
* E: -0.295 Ha/atom
* space-group type: P4/mmm

abc: 4.1231 4.1231 4.2458
angles: 90.00 90.00 90.00
Site moments in Bohr magnetons follow the coordinates.
Positions (direct):
O: 0.0000 0.5000 0.0000  -0.09
O: 0.5000 0.0000 0.0000  -0.09
Mn: 0.5000 0.5000 0.5000  4.70
Zr: 0.0000 0.0000 0.0000  0.03
N: 0.0000 0.0000 0.5000  -0.28